Density functional theory data (PBE-GGA) for crystalline AlZn at its relaxed geometry.

Unit cell a=4.495 b=4.495 c=5.074 alpha=90.00 beta=90.00 gamma=120.00
Atoms (fractional coordinates):
Al: 0.333 0.667 0.250
Al: 0.667 0.333 0.750
Zn: 0.333 0.667 0.750
Zn: 0.667 0.333 0.250

## Properties
As for the space-group type: No. 194. As for the volume: 88.80 Å³ per cell. Its calculated density is 3.5 g cm⁻³. The formation energy comes out at 0.391 eV/atom.

=====

Density functional theory data (PBE-GGA) for crystalline ZnFe2Mo at its relaxed geometry.

Unit cell a=4.607 b=4.607 c=4.607 alpha=132.76 beta=132.76 gamma=69.04
Atoms (fractional coordinates):
Zn: 0.000 0.000 0.000
Fe: 0.250 0.750 0.500
Fe: 0.500 0.500 0.000
Mo: 0.750 0.250 0.500

## Properties
As for the space-group type: No. 119. As for the volume: 51.73 Å³ per cell. Its calculated density is 8.8 g cm⁻³. The formation energy comes out at 0.167 eV/atom.

=====

Density functional theory data (PBE-GGA) for crystalline MgTi2Cd at its relaxed geometry.

Unit cell a=6.105 b=6.105 c=6.105 alpha=100.83 beta=100.83 gamma=128.63
Atoms (fractional coordinates):
Mg: 0.000 0.000 0.000
Mg: 0.750 0.250 0.500
Ti: 0.132 0.625 0.007
Ti: 0.375 0.382 0.507
Ti: 0.618 0.125 0.993
Ti: 0.875 0.868 0.493
Cd: 0.250 0.750 0.500
Cd: 0.500 0.500 0.000

## Properties
As for the space-group type: No. 122. As for the volume: 160.22 Å³ per cell. Its calculated density is 4.8 g cm⁻³. The formation energy comes out at 0.495 eV/atom.

=====

Density functional theory data (PBE-GGA) for crystalline LaY3Ho at its relaxed geometry.

Unit cell a=3.598 b=8.047 c=11.931 alpha=78.25 beta=89.95 gamma=77.15
Atoms (fractional coordinates):
La: 0.054 0.395 0.152
La: 0.946 0.605 0.848
Y: 0.151 0.199 0.450
Y: 0.348 0.804 0.052
Y: 0.449 0.603 0.352
Y: 0.551 0.397 0.648
Y: 0.652 0.196 0.948
Y: 0.849 0.801 0.550
Ho: 0.247 0.004 0.746
Ho: 0.753 0.996 0.254

## Properties
As for the space-group type: No. 2. As for the volume: 329.37 Å³ per cell. Its calculated density is 5.8 g cm⁻³. The formation energy comes out at 0.027 eV/atom.

=====

Density functional theory data (PBE-GGA) for crystalline LiLaZn4 at its relaxed geometry.

Unit cell a=5.456 b=5.456 c=5.456 alpha=60.00 beta=60.00 gamma=60.00
Atoms (fractional coordinates):
Li: 0.000 0.000 0.000
La: 0.750 0.750 0.750
Zn: 0.374 0.374 0.374
Zn: 0.374 0.374 0.878
Zn: 0.374 0.878 0.374
Zn: 0.878 0.374 0.374

## Properties
As for the space-group type: No. 216. As for the volume: 114.84 Å³ per cell. Its calculated density is 5.9 g cm⁻³. The formation energy comes out at -0.234 eV/atom.

=====

Density functional theory data (PBE-GGA) for crystalline Ce7GaIr2 at its relaxed geometry.

Unit cell a=7.984 b=7.984 c=5.188 alpha=90.00 beta=90.00 gamma=113.66
Atoms (fractional coordinates):
Ce: 0.000 0.000 0.000
Ce: 0.226 0.443 0.000
Ce: 0.230 0.770 0.500
Ce: 0.443 0.226 0.000
Ce: 0.557 0.774 0.000
Ce: 0.770 0.230 0.500
Ce: 0.774 0.557 0.000
Ga: 0.500 0.500 0.500
Ir: 0.194 0.806 0.000
Ir: 0.806 0.194 0.000

## Properties
As for the space-group type: No. 65. As for the volume: 302.93 Å³ per cell. Its calculated density is 7.9 g cm⁻³. The formation energy comes out at -0.157 eV/atom.

=====

Density functional theory data (PBE-GGA) for crystalline CaGe2Ru at its relaxed geometry.

Unit cell a=4.598 b=4.598 c=4.598 alpha=60.00 beta=60.00 gamma=60.00
Atoms (fractional coordinates):
Ca: 0.000 0.000 0.000
Ge: 0.250 0.250 0.250
Ge: 0.750 0.750 0.750
Ru: 0.500 0.500 0.500

## Properties
As for the space-group type: No. 225. As for the volume: 68.75 Å³ per cell. Its calculated density is 6.9 g cm⁻³. The formation energy comes out at -0.205 eV/atom.

=====

Density functional theory data (PBE-GGA) for crystalline SrZn9Ir2 at its relaxed geometry.

Unit cell a=8.328 b=8.328 c=8.328 alpha=100.31 beta=100.31 gamma=129.95
Atoms (fractional coordinates):
Sr: 0.375 0.625 0.750
Sr: 0.625 0.375 0.250
Zn: 0.125 0.875 0.250
Zn: 0.145 0.564 0.335
Zn: 0.145 0.809 0.581
Zn: 0.191 0.271 0.335
Zn: 0.191 0.855 0.919
Zn: 0.271 0.191 0.835
Zn: 0.271 0.436 0.081
Zn: 0.436 0.271 0.581
Zn: 0.436 0.855 0.165
Zn: 0.564 0.145 0.835
Zn: 0.564 0.729 0.419
Zn: 0.729 0.564 0.919
Zn: 0.729 0.809 0.165
Zn: 0.809 0.145 0.081
Zn: 0.809 0.729 0.665
Zn: 0.855 0.191 0.419
Zn: 0.855 0.436 0.665
Zn: 0.875 0.125 0.750
Ir: 0.000 0.000 0.000
Ir: 0.000 0.000 0.500
Ir: 0.000 0.500 0.000
Ir: 0.500 0.000 0.500

## Properties
As for the space-group type: No. 141. As for the volume: 401.20 Å³ per cell. Its calculated density is 8.8 g cm⁻³. The formation energy comes out at -0.255 eV/atom.

=====

Density functional theory data (PBE-GGA) for crystalline HfTaAs2 at its relaxed geometry.

Unit cell a=4.624 b=4.624 c=4.624 alpha=60.00 beta=60.00 gamma=60.00
Atoms (fractional coordinates):
Hf: 0.000 0.000 0.000
Ta: 0.500 0.500 0.500
As: 0.250 0.250 0.250
As: 0.750 0.750 0.750

## Properties
As for the space-group type: No. 225. As for the volume: 69.90 Å³ per cell. Its calculated density is 12.1 g cm⁻³. The formation energy comes out at -0.488 eV/atom.

=====

Density functional theory data (PBE-GGA) for crystalline Ac3GdOs at its relaxed geometry.

Unit cell a=5.880 b=5.880 c=5.880 alpha=90.00 beta=90.00 gamma=90.00
Atoms (fractional coordinates):
Ac: 0.000 0.000 0.500
Ac: 0.000 0.500 0.000
Ac: 0.500 0.000 0.000
Gd: 0.500 0.500 0.500
Os: 0.000 0.000 0.000

## Properties
As for the space-group type: No. 221. As for the volume: 203.25 Å³ per cell. Its calculated density is 8.4 g cm⁻³. The formation energy comes out at 0.114 eV/atom.

=====

Density functional theory data (PBE-GGA) for crystalline Ca6HgRh2 at its relaxed geometry.

Unit cell a=8.748 b=8.748 c=8.748 alpha=113.45 beta=113.12 gamma=102.09
Atoms (fractional coordinates):
Ca: 0.018 0.839 0.179
Ca: 0.243 0.541 0.298
Ca: 0.243 0.945 0.702
Ca: 0.292 0.321 0.613
Ca: 0.292 0.679 0.971
Ca: 0.340 0.161 0.179
Ca: 0.660 0.839 0.821
Ca: 0.708 0.321 0.029
Ca: 0.708 0.679 0.387
Ca: 0.757 0.055 0.298
Ca: 0.757 0.459 0.702
Ca: 0.982 0.161 0.821
Hg: 0.000 0.500 0.500
Hg: 0.500 0.000 0.500
Rh: 0.000 0.187 0.187
Rh: 0.000 0.813 0.813
Rh: 0.372 0.372 0.000
Rh: 0.628 0.628 0.000

## Properties
As for the space-group type: No. 71. As for the volume: 509.05 Å³ per cell. Its calculated density is 4.2 g cm⁻³. The formation energy comes out at -0.380 eV/atom.

=====

Density functional theory data (PBE-GGA) for crystalline AcPuP2Rh2 at its relaxed geometry.

Unit cell a=4.122 b=4.122 c=8.276 alpha=90.00 beta=90.00 gamma=120.00
Atoms (fractional coordinates):
Ac: 0.000 0.000 0.000
Pu: 0.000 0.000 0.500
P: 0.333 0.667 0.285
P: 0.667 0.333 0.715
Rh: 0.333 0.667 0.745
Rh: 0.667 0.333 0.255

## Properties
As for the space-group type: No. 164. As for the volume: 121.78 Å³ per cell. Its calculated density is 10.1 g cm⁻³. The formation energy comes out at -1.062 eV/atom.

=====

Density functional theory data (PBE-GGA) for crystalline DyAg5Te4 at its relaxed geometry.

Unit cell a=8.915 b=8.915 c=8.915 alpha=150.78 beta=124.05 gamma=64.36
Atoms (fractional coordinates):
Dy: 0.000 0.000 0.000
Ag: 0.031 0.314 0.718
Ag: 0.404 0.686 0.718
Ag: 0.500 0.000 0.500
Ag: 0.596 0.314 0.282
Ag: 0.969 0.686 0.282
Te: 0.209 0.209 0.000
Te: 0.266 0.500 0.766
Te: 0.734 0.500 0.234
Te: 0.791 0.791 0.000

## Properties
The uncorrected formation energy is -3.36 eV/f.u. As for the space-group type: No. 71. As for the volume: 283.75 Å³ per cell. Its calculated density is 7.1 g cm⁻³.

=====

Density functional theory data (PBE-GGA) for crystalline Cr2OsRu at its relaxed geometry.

Unit cell a=3.770 b=3.770 c=3.676 alpha=90.00 beta=90.00 gamma=90.00
Atoms (fractional coordinates):
Cr: 0.000 0.500 0.000
Cr: 0.500 0.000 0.000
Os: 0.000 0.000 0.500
Ru: 0.500 0.500 0.500

## Properties
As for the space-group type: No. 123. As for the volume: 52.26 Å³ per cell. Its calculated density is 12.6 g cm⁻³. The formation energy comes out at 0.112 eV/atom.

=====

Density functional theory data (PBE-GGA) for crystalline Ti5Zn4Cu2 at its relaxed geometry.

Unit cell a=7.015 b=16.244 c=2.943 alpha=90.00 beta=90.00 gamma=90.00
Atoms (fractional coordinates):
Ti: 0.000 0.000 0.000
Ti: 0.137 0.430 0.000
Ti: 0.244 0.214 0.000
Ti: 0.256 0.714 0.000
Ti: 0.363 0.930 0.000
Ti: 0.500 0.500 0.000
Ti: 0.637 0.070 0.000
Ti: 0.744 0.286 0.000
Ti: 0.756 0.786 0.000
Ti: 0.863 0.570 0.000
Zn: 0.075 0.849 0.500
Zn: 0.207 0.572 0.500
Zn: 0.293 0.072 0.500
Zn: 0.425 0.349 0.500
Zn: 0.575 0.651 0.500
Zn: 0.707 0.928 0.500
Zn: 0.793 0.428 0.500
Zn: 0.925 0.151 0.500
Cu: 0.041 0.307 0.500
Cu: 0.459 0.807 0.500
Cu: 0.541 0.193 0.500
Cu: 0.959 0.693 0.500

## Properties
As for the space-group type: No. 55. As for the volume: 335.40 Å³ per cell. Its calculated density is 6.2 g cm⁻³. The formation energy comes out at -0.136 eV/atom.

=====

Density functional theory data (PBE-GGA) for crystalline NaZnGaSn at its relaxed geometry.

Unit cell a=4.984 b=4.984 c=4.984 alpha=60.00 beta=60.00 gamma=60.00
Atoms (fractional coordinates):
Na: 0.000 0.000 0.000
Zn: 0.750 0.750 0.750
Ga: 0.250 0.250 0.250
Sn: 0.500 0.500 0.500

## Properties
As for the space-group type: No. 216. As for the volume: 87.57 Å³ per cell. Its calculated density is 5.2 g cm⁻³. The formation energy comes out at -0.016 eV/atom.

=====

Density functional theory data (PBE-GGA) for crystalline Er8Sn2Bi at its relaxed geometry.

Unit cell a=10.108 b=10.108 c=6.950 alpha=101.64 beta=101.64 gamma=28.13
Atoms (fractional coordinates):
Er: 0.024 0.024 0.253
Er: 0.218 0.218 0.837
Er: 0.339 0.339 0.488
Er: 0.405 0.405 0.011
Er: 0.595 0.595 0.989
Er: 0.661 0.661 0.512
Er: 0.782 0.782 0.163
Er: 0.976 0.976 0.747
Sn: 0.182 0.182 0.265
Sn: 0.818 0.818 0.735
Bi: 0.500 0.500 0.500

## Properties
As for the space-group type: No. 12. As for the volume: 327.47 Å³ per cell. Its calculated density is 9.0 g cm⁻³. The formation energy comes out at -0.359 eV/atom.

=====

Density functional theory data (PBE-GGA) for crystalline KNa2CdIn at its relaxed geometry.

Unit cell a=5.997 b=5.997 c=5.727 alpha=90.00 beta=90.00 gamma=90.00
Atoms (fractional coordinates):
K: 0.000 0.000 0.000
Na: 0.000 0.500 0.500
Na: 0.500 0.000 0.500
Cd: 0.500 0.500 0.000
In: 0.500 0.500 0.500

## Properties
As for the space-group type: No. 123. As for the volume: 205.96 Å³ per cell. Its calculated density is 2.5 g cm⁻³. The formation energy comes out at 0.023 eV/atom.

=====

Density functional theory data (PBE-GGA) for crystalline AsRhPbBr2 at its relaxed geometry.

Unit cell a=5.209 b=5.209 c=4.801 alpha=90.00 beta=90.00 gamma=90.00
Atoms (fractional coordinates):
As: 0.000 0.000 0.000
Rh: 0.000 0.000 0.500
Pb: 0.500 0.500 0.000
Br: 0.000 0.500 0.500
Br: 0.500 0.000 0.500

## Properties
The uncorrected formation energy is 0.07 eV/f.u. As for the space-group type: No. 123. As for the volume: 130.24 Å³ per cell. Its calculated density is 6.9 g cm⁻³.

=====

Density functional theory data (PBE-GGA) for crystalline Nd2YSi at its relaxed geometry.

Unit cell a=4.702 b=4.702 c=4.832 alpha=90.00 beta=90.00 gamma=90.00
Atoms (fractional coordinates):
Nd: 0.000 0.500 0.000
Nd: 0.500 0.000 0.000
Y: 0.000 0.000 0.500
Si: 0.500 0.500 0.500

## Properties
The uncorrected formation energy is -0.97 eV/f.u. As for the space-group type: No. 123. As for the volume: 106.81 Å³ per cell. Its calculated density is 6.3 g cm⁻³.